Below is Mn2MoIr at its PBEsol-relaxed geometry, with properties calculated at the SCAN level.

Results
final energy = -35.84 eV per atom
DFT formation energy = -0.220 eV per atom

Lattice parameters (Å, degrees): 3.749 3.749 3.616 90.00 90.00 90.00
Space group P4/mmm (No. 123)
Inequivalent atoms, fractional coordinates:
Mn 0.000 0.500 0.000 x2
Mo 0.000 0.000 0.500 x1
Ir 0.500 0.500 0.500 x1

***

Below is Be2HgPt at its PBEsol-relaxed geometry, with properties calculated at the SCAN level.

Results
final energy = -36.92 eV per atom
DFT formation energy = -0.155 eV per atom

Lattice parameters (Å, degrees): 3.554 3.554 8.248 90.00 90.00 90.00
Space group I-4m2 (No. 119)
Inequivalent atoms, fractional coordinates:
Be 0.000 0.000 0.000 x2
Be 0.000 0.500 0.250 x2
Hg 0.000 0.000 0.500 x2
Pt 0.000 0.500 0.750 x2

***

Below is Ce3In at its PBEsol-relaxed geometry, with properties calculated at the SCAN level.

Results
final energy = -42.09 eV per atom
DFT formation energy = -0.325 eV per atom

Lattice parameters (Å, degrees): 4.688 4.688 4.688 90.00 90.00 90.00
Space group Pm-3m (No. 221)
Inequivalent atoms, fractional coordinates:
Ce 0.000 0.000 0.500 x3
In 0.500 0.500 0.500 x1

***

Below is CaS2NCl at its PBEsol-relaxed geometry, with properties calculated at the SCAN level.

Results
final energy = -8.74 eV per atom
ΔE_f (raw) = 0.497 eV/atom
offset from the most stable computed form = 3.47 eV/f.u.

Lattice parameters (Å, degrees): 4.722 4.722 3.960 90.00 90.00 90.00
Space group P4/mmm (No. 123)
Inequivalent atoms, fractional coordinates:
Ca 0.000 0.000 0.000 x1
S 0.000 0.500 0.500 x2
N 0.500 0.500 0.000 x1
Cl 0.500 0.500 0.500 x1

***

Please write out number 4 again, unchanged.
Below is CaS2NCl at its PBEsol-relaxed geometry, with properties calculated at the SCAN level.

Results
final energy = -8.74 eV per atom
ΔE_f (raw) = 0.497 eV/atom
offset from the most stable computed form = 3.47 eV/f.u.

Lattice parameters (Å, degrees): 4.722 4.722 3.960 90.00 90.00 90.00
Space group P4/mmm (No. 123)
Inequivalent atoms, fractional coordinates:
Ca 0.000 0.000 0.000 x1
S 0.000 0.500 0.500 x2
N 0.500 0.500 0.000 x1
Cl 0.500 0.500 0.500 x1

***

final energy of number 3 (Ce3In)?
-42.09 eV per atom

***

What is the final energy in the second record?
-36.92 eV per atom